No. 1
First-principles (PBE) data for a geometry-optimized CdBrN2 structure, as listed in the Alexandria database.

abc: 6.6594 6.6594 6.6594
angles: 137.70 137.70 61.37
With the nearest neighbours (Å) after each atom.
Sites, in units of the cell vectors:
Cd  0.0000  0.0000  0.0000  4 N 2.32
Cd  0.7500  0.2500  0.5000  4 N 2.32
Br  0.2500  0.7500  0.5000  4 N 2.14
Br  0.5000  0.5000  0.0000  4 N 2.14
N  0.1603  0.6250  0.0353  2 Br 2.14, 2 Cd 2.32
N  0.3750  0.4103  0.5353  2 Br 2.14, 2 Cd 2.32
N  0.5897  0.1250  0.9647  2 Br 2.14, 2 Cd 2.32
N  0.8750  0.8397  0.4647  2 Br 2.14, 2 Cd 2.32

Calculated values
symmetry: I-42d (122)
E: -3.20 eV/atom
ΔE to the lowest computed polymorph: 175.4 kJ/mol of atoms

No. 2
First-principles (PBE) data for a geometry-optimized CdBrN2 structure, as listed in the Alexandria database.

abc: 6.5622 6.5622 6.5622
angles: 31.00 31.00 31.00
With the nearest neighbours (Å) after each atom.
Sites, in units of the cell vectors:
Cd  0.0000  0.0000  0.0000  2 N 2.11
Br  0.5000  0.5000  0.5000  6 N 2.26
N  0.1125  0.1125  0.1125  1 Cd 2.11, 3 Br 2.26
N  0.8875  0.8875  0.8875  1 Cd 2.11, 3 Br 2.26

Calculated values
symmetry: R-3m (166)
E: -3.02 eV/atom
ΔE to the lowest computed polymorph: 193.0 kJ/mol of atoms

No. 3
First-principles (PBE) data for a geometry-optimized NaCdBr2N structure, as listed in the Alexandria database.

abc: 5.4154 5.4154 6.8067
angles: 90.00 90.00 90.00
With the nearest neighbours (Å) after each atom.
Sites, in units of the cell vectors:
Na  0.0000  0.0000  0.0000  2 Cd 3.40
Cd  0.0000  0.0000  0.5000  4 Br 2.71
Br  0.0000  0.5000  0.5000  2 Cd 2.71
Br  0.5000  0.0000  0.5000  2 Cd 2.71
N  0.5000  0.5000  0.0000  4 Na 3.83

Calculated values
symmetry: P4/mmm (123)
E: -2.19 eV/atom

No. 4
First-principles (PBE) data for a geometry-optimized NaCd2BrN structure, as listed in the Alexandria database.

abc: 4.3155 4.3155 9.8117
angles: 90.00 90.00 90.00
With the nearest neighbours (Å) after each atom.
Sites, in units of the cell vectors:
Na  0.0000  0.0000  0.0000  4 Br 3.05
Cd  0.0000  0.5000  0.5000  2 N 2.16
Cd  0.5000  0.0000  0.5000  2 N 2.16
Br  0.5000  0.5000  0.0000  4 Na 3.05
N  0.5000  0.5000  0.5000  4 Cd 2.16

Calculated values
symmetry: P4/mmm (123)
E: -2.68 eV/atom

No. 5
First-principles (PBE) data for a geometry-optimized CdOsBrN2 structure, as listed in the Alexandria database.

abc: 3.8317 3.8317 5.9941
angles: 90.00 90.00 90.00
With the nearest neighbours (Å) after each atom.
Sites, in units of the cell vectors:
Cd  0.0000  0.0000  0.0000  4 Br 2.71, 2 Os 3.00
Os  0.0000  0.0000  0.5000  4 N 1.92
Br  0.5000  0.5000  0.0000  4 Cd 2.71
N  0.0000  0.5000  0.5000  2 Os 1.92
N  0.5000  0.0000  0.5000  2 Os 1.92

Calculated values
symmetry: P4/mmm (123)
E: -5.67 eV/atom

No. 6
First-principles (PBE) data for a geometry-optimized CdRuBr2N structure, as listed in the Alexandria database.

abc: 5.0913 5.0913 4.1555
angles: 90.00 90.00 90.00
With the nearest neighbours (Å) after each atom.
Sites, in units of the cell vectors:
Cd  0.0000  0.0000  0.0000  2 N 2.08
Ru  0.5000  0.5000  0.0000  8 Br 3.29, 4 Cd 3.60
Br  0.0000  0.5000  0.5000  2 N 2.55
Br  0.5000  0.0000  0.5000  2 N 2.55
N  0.0000  0.0000  0.5000  2 Cd 2.08

Calculated values
symmetry: P4/mmm (123)
E: -3.08 eV/atom

The Fermi-level density of states results, record by record, are as follows: 0.20; 0.30; 0.65; 0.29; 0.39; 0.41 states/eV/atom.
The raw formation energy results, record by record, are as follows: 1.61; 1.79; 0.59; -0.05; 0.42; 1.30 eV/atom.